Th4ZnPd15 (PBE, optimized geometry); total moment = 0.00 μB/f.u.; formation energy from the elements = -16.80 eV/f.u.
1.0
4.197 0.000 0.000
0.000 4.197 0.000
0.000 0.000 20.456
Th Zn Pd
4 1 15
Direct
0.000 0.000 0.185
0.000 0.000 0.395
0.000 0.000 0.605
0.000 0.000 0.815
0.000 0.000 0.000
0.500 0.500 0.000
0.500 0.500 0.193
0.500 0.500 0.398
0.500 0.500 0.602
0.500 0.500 0.807
0.500 0.000 0.090
0.500 0.000 0.295
0.500 0.000 0.500
0.500 0.000 0.705
0.500 0.000 0.910
0.000 0.500 0.090
0.000 0.500 0.295
0.000 0.500 0.500
0.000 0.500 0.705
0.000 0.500 0.910

TlAg8Te6 (PBE, optimized geometry); uncorrected formation energy = -0.029 eV per atom; total moment = 0.00 μB/f.u.
1.0
-3.464 5.221 4.349
-7.150 2.138 -1.574
-6.362 -3.439 5.750
Tl Ag Te
1 8 6
Direct
0.000 0.000 0.000
0.873 0.375 0.577
0.826 0.127 0.423
0.625 0.826 0.423
0.428 0.428 0.717
0.572 0.572 0.283
0.375 0.174 0.577
0.174 0.873 0.577
0.127 0.625 0.423
0.967 0.555 0.226
0.747 0.033 0.774
0.445 0.747 0.774
0.555 0.253 0.226
0.253 0.967 0.226
0.033 0.445 0.774

Q: Number 1 is which compound?
A: Th4ZnPd15